No. 1
A relaxed structure of NpZn2Pd8, computed with GGA-PBE.

Cell and atoms, written as POSCAR:
```
NpZn2Pd8
1.0
3.993 0.000 -1.148
-0.649 5.938 -2.256
-0.066 0.349 7.291
Np Zn Pd
1 2 8
direct
0.500 0.000 0.000
0.221 0.650 0.442
0.779 0.350 0.558
0.601 0.467 0.202
0.319 0.072 0.638
0.149 0.212 0.297
0.044 0.729 0.087
0.851 0.788 0.703
0.681 0.928 0.362
0.399 0.533 0.798
0.956 0.271 0.913
```

DOS(E_F): 14.8 states/eV/f.u.
Crystal system: monoclinic
Formation energy from the elements: -0.38 eV/atom
Excess energy over the best structure of this formula in the dataset: 0 meV per atom



No. 2
A relaxed structure of NpZnPd2, computed with GGA-PBE.

Cell and atoms, written as POSCAR:
```
NpZnPd2
1.0
2.937 0.000 0.000
0.000 4.975 0.000
0.000 0.000 4.975
Np Zn Pd
1 1 2
direct
0.500 0.500 0.500
0.500 0.000 0.000
0.000 0.000 0.500
0.000 0.500 0.000
```

DOS(E_F): 7.4 states/eV/f.u.
Crystal system: tetragonal
Formation energy from the elements: -0.18 eV/atom



No. 3
A relaxed structure of Np2ZnPd9, computed with GGA-PBE.

Cell and atoms, written as POSCAR:
```
Np2ZnPd9
1.0
-2.893 1.427 -2.529
1.604 -2.192 -3.071
-7.093 -9.248 2.896
Np Zn Pd
2 1 9
direct
0.000 0.000 0.323
0.000 0.000 0.677
0.000 0.000 0.000
0.500 0.500 0.000
0.500 0.500 0.329
0.500 0.500 0.671
0.500 0.000 0.158
0.500 0.000 0.500
0.500 0.000 0.842
0.000 0.500 0.158
0.000 0.500 0.500
0.000 0.500 0.842
```

DOS(E_F): 29.5 states/eV/f.u.
Crystal system: tetragonal
Formation energy from the elements: -0.41 eV/atom



No. 4
A relaxed structure of NpZnPd, computed with GGA-PBE.

Cell and atoms, written as POSCAR:
```
NpZnPd
1.0
2.891 0.000 0.000
0.000 4.718 0.000
0.000 -2.359 4.086
Np Zn Pd
1 1 1
direct
0.667 0.333 0.667
0.167 0.667 0.333
0.166 0.000 0.000
```

DOS(E_F): 6.4 states/eV/f.u.
Crystal system: hexagonal
Formation energy from the elements: -0.18 eV/atom



No. 5
A relaxed structure of NpZnPd, computed with GGA-PBE.

Cell and atoms, written as POSCAR:
```
NpZnPd
1.0
5.198 1.871 -0.716
1.846 5.207 -0.716
-4.398 -4.419 5.589
Np Pd Zn
2 2 2
direct
0.752 0.752 0.251
0.248 0.248 0.749
0.500 0.500 0.674
0.500 0.500 0.326
0.999 0.999 0.831
0.001 0.001 0.169
```

DOS(E_F): 5.3 states/eV/f.u.
Crystal system: monoclinic
Formation energy from the elements: -0.22 eV/atom



No. 6
A relaxed structure of NpZn9Pd2, computed with GGA-PBE.

Cell and atoms, written as POSCAR:
```
NpZn9Pd2
1.0
-1.069 -1.714 -1.923
4.776 -6.722 3.337
-8.178 1.616 3.104
Np Zn Pd
1 9 2
direct
0.000 0.000 0.000
0.000 0.000 0.500
0.000 0.500 0.500
0.000 0.500 0.000
0.500 0.364 0.182
0.500 0.182 0.818
0.500 0.182 0.364
0.500 0.818 0.636
0.500 0.818 0.182
0.500 0.636 0.818
0.000 0.333 0.667
0.000 0.667 0.333
```

DOS(E_F): 6.1 states/eV/f.u.
Crystal system: hexagonal
Formation energy from the elements: -0.20 eV/atom



No. 7
A relaxed structure of Np2Zn16Pd, computed with GGA-PBE.

Cell and atoms, written as POSCAR:
```
Np2Zn16Pd
1.0
-2.723 0.773 -6.178
3.902 -4.538 -3.220
-4.334 -5.225 0.324
Np Zn Pd
2 16 1
direct
0.663 0.663 0.663
0.341 0.341 0.341
0.707 0.999 0.291
0.999 0.291 0.707
0.291 0.707 0.999
0.999 0.707 0.291
0.707 0.291 0.999
0.291 0.999 0.707
0.355 0.840 0.355
0.840 0.355 0.355
0.355 0.355 0.840
0.648 0.154 0.648
0.154 0.648 0.648
0.648 0.648 0.154
0.998 0.502 0.998
0.502 0.998 0.998
0.998 0.998 0.502
0.105 0.105 0.105
0.900 0.900 0.900
```

DOS(E_F): 20.6 states/eV/f.u.
Crystal system: trigonal
Formation energy from the elements: -0.10 eV/atom



No. 8
A relaxed structure of NpZnPd, computed with GGA-PBE.

Cell and atoms, written as POSCAR:
```
NpZnPd
1.0
-0.571 -2.064 -2.144
-0.845 -1.981 2.132
-4.918 3.994 -0.393
Np Zn Pd
1 1 1
direct
0.004 0.004 0.007
0.313 0.313 0.625
0.684 0.684 0.368
```

DOS(E_F): 4.7 states/eV/f.u.
Crystal system: tetragonal
Formation energy from the elements: -0.15 eV/atom



No. 9
A relaxed structure of NpZn2Pd8, computed with GGA-PBE.

Cell and atoms, written as POSCAR:
```
NpZn2Pd8
1.0
4.940 -0.037 -0.031
-0.108 6.956 2.287
-0.108 3.520 6.420
Np Zn Pd
1 2 8
direct
0.000 0.000 0.000
0.360 0.254 0.254
0.640 0.746 0.746
0.594 0.156 0.653
0.406 0.347 0.844
0.859 0.205 0.205
0.141 0.795 0.795
0.594 0.653 0.156
0.406 0.844 0.347
0.097 0.409 0.409
0.903 0.591 0.591
```

DOS(E_F): 13.6 states/eV/f.u.
Crystal system: monoclinic
Formation energy from the elements: -0.29 eV/atom
Excess energy over the best structure of this formula in the dataset: 87 meV per atom



No. 10
A relaxed structure of NpZnPd14, computed with GGA-PBE.

Cell and atoms, written as POSCAR:
```
NpZnPd14
1.0
5.707 -0.012 0.000
0.012 5.707 0.000
0.000 0.000 7.771
Np Zn Pd
1 1 14
direct
0.375 0.375 0.500
0.875 0.875 0.500
0.875 0.875 0.000
0.375 0.375 0.000
0.875 0.375 0.500
0.875 0.375 0.000
0.375 0.875 0.500
0.375 0.875 0.000
0.627 0.123 0.252
0.627 0.123 0.748
0.123 0.627 0.252
0.123 0.627 0.748
0.627 0.627 0.252
0.627 0.627 0.748
0.123 0.123 0.252
0.123 0.123 0.748
```

DOS(E_F): 29.3 states/eV/f.u.
Crystal system: tetragonal
Formation energy from the elements: -0.21 eV/atom



No. 11
A relaxed structure of ZrNp2Pd9, computed with GGA-PBE.

Cell and atoms, written as POSCAR:
```
ZrNp2Pd9
1.0
-2.332 -3.276 0.842
1.517 -0.099 3.816
-9.096 7.455 3.810
Zr Np Pd
1 2 9
direct
0.000 0.000 0.000
0.000 0.000 0.331
0.000 0.000 0.669
0.500 0.500 0.000
0.500 0.500 0.329
0.500 0.500 0.671
0.500 0.000 0.159
0.500 0.000 0.500
0.500 0.000 0.841
0.000 0.500 0.159
0.000 0.500 0.500
0.000 0.500 0.841
```

DOS(E_F): 21.5 states/eV/f.u.
Crystal system: tetragonal
Formation energy from the elements: -0.56 eV/atom



No. 12
A relaxed structure of ZrNpPd6, computed with GGA-PBE.

Cell and atoms, written as POSCAR:
```
ZrNpPd6
1.0
4.089 0.000 0.000
0.000 4.089 0.000
0.000 0.000 8.211
Zr Np Pd
1 1 6
direct
0.000 0.000 0.500
0.000 0.000 0.000
0.500 0.500 0.000
0.500 0.500 0.500
0.500 0.000 0.260
0.500 0.000 0.740
0.000 0.500 0.260
0.000 0.500 0.740
```

DOS(E_F): 9.6 states/eV/f.u.
Crystal system: tetragonal
Formation energy from the elements: -0.62 eV/atom



Question: DOS(E_F) of number 11 (ZrNp2Pd9)?
Answer: 21.5 states/eV/f.u.



Question: Which formula does entry 2 have?
Answer: NpZnPd2



Question: Which of these has the highest formation energy from the elements?
Answer: Np2Zn16Pd